one:
Density functional theory data (GGA-PBE) for an optimized crystal structure of DyEr3Pt2.

Cell lengths 4.745, 8.734, 7.107 Å; angles 90.00, 90.00, 90.00 degrees
Sites, in units of the cell vectors:
Dy: 0.000 0.082 0.000
Dy: 0.000 0.918 0.500
Er: 0.000 0.331 0.634
Er: 0.000 0.669 0.134
Er: 0.500 0.171 0.346
Er: 0.500 0.418 0.980
Er: 0.500 0.582 0.480
Er: 0.500 0.829 0.846
Pt: 0.000 0.345 0.232
Pt: 0.000 0.655 0.732
Pt: 0.500 0.157 0.748
Pt: 0.500 0.843 0.248

Properties
SG ... No. 26
Calculated volume ... 24.54 A^3/atom

two:
Density functional theory data (GGA-PBE) for an optimized crystal structure of DyEr3Pt2.

Cell lengths 8.384, 8.384, 8.384 Å; angles 131.65, 71.71, 130.48 degrees
Sites, in units of the cell vectors:
Dy: 0.000 0.000 0.000
Dy: 0.500 0.500 0.000
Er: 0.013 0.250 0.763
Er: 0.250 0.750 0.500
Er: 0.487 0.250 0.237
Er: 0.513 0.750 0.763
Er: 0.750 0.250 0.500
Er: 0.987 0.750 0.237
Pt: 0.140 0.710 0.851
Pt: 0.360 0.210 0.570
Pt: 0.640 0.790 0.430
Pt: 0.860 0.290 0.149

Properties
SG ... No. 72
Calculated volume ... 27.30 A^3/atom

Ordering by calculated energy gives the sequence one, two, with the first entry being the most stable.